Below is a relaxed Li2MgSnH crystal, with properties calculated at the PBE level.

a = 4.3156 Å, b = 4.3156 Å, c = 4.4897 Å
α = 90.00°, β = 90.00°, γ = 90.00°
With the nearest neighbours (Å) after each atom.
Fractional positions:
Li1 0.0000 0.5000 0.0000  2 H 2.16
Li2 0.5000 0.0000 0.0000  2 H 2.16
Mg1 0.0000 0.0000 0.5000  4 Sn 3.05, 8 Li 3.11
Sn1 0.5000 0.5000 0.5000  2 H 2.24
H1 0.5000 0.5000 0.0000  4 Li 2.16, 2 Sn 2.24

Energy above the lowest structure with this stoichiometry   0.1680 eV per atom
Density of states at the Fermi level   1.1 states/eV per cell
Electronic total energy   -13.3 eV/cell